Entry 1:
## RbSnIN2 (PBE-GGA)

Data for RbSnIN2 after structural relaxation.

```
RbSnIN2
1.0
5.2790 0.0000 0.0000
0.0000 5.2790 0.0000
0.0000 0.0000 6.9611
Rb Sn I N
1 1 1 2
Direct
0.0000 0.0000 0.0000
0.5000 0.5000 0.5000
0.0000 0.0000 0.5000
0.0000 0.5000 0.0000
0.5000 0.0000 0.0000
```

Values from the calculation:
energy relative to the lowest polymorph listed for this composition	983	meV/atom
crystal system	tetragonal
uncorrected formation energy	9.023	eV/f.u.



Entry 2:
## Tb2YHoP4 (PBE-GGA)

Data for Tb2YHoP4 after structural relaxation.

```
Tb2YHoP4
1.0
6.9515 0.0000 0.0000
0.0000 4.0157 0.0000
-2.3169 0.0000 6.5551
Tb Y Ho P
2 1 1 4
Direct
0.0000 0.0000 0.0000
0.0000 0.5000 0.5000
0.5000 0.0000 0.5000
0.5000 0.5000 0.0000
0.2513 0.5000 0.2496
0.2518 0.0000 0.7515
0.7482 0.0000 0.2485
0.7487 0.5000 0.7504
```

Values from the calculation:
crystal system	monoclinic
ΔE_f	-1.62	eV/atom



Entry 3:
## ZnHNO2 (PBE-GGA)

Data for ZnHNO2 after structural relaxation.

```
ZnHNO2
1.0
3.8673 0.0000 0.0000
0.0000 3.8673 0.0000
0.0000 0.0000 2.5630
Zn H N O
1 1 1 2
Direct
0.0000 0.0000 0.0000
0.5000 0.5000 0.5000
0.5000 0.5000 0.0000
0.0000 0.5000 0.5000
0.5000 0.0000 0.5000
```

Values from the calculation:
crystal system	tetragonal
electronic total energy	-3.700	eV per atom



Entry 4:
## PuOF2 (PBE-GGA)

Data for PuOF2 after structural relaxation.

```
PuOF2
1.0
4.2194 0.0000 0.0000
-1.4117 5.7400 0.0000
-1.4201 -1.9376 5.4033
Pu O F
2 2 4
Direct
0.2496 0.1522 0.3478
0.7504 0.8478 0.6522
0.2504 0.9137 0.5871
0.7496 0.0863 0.4129
0.0771 0.8104 0.0176
0.4210 0.4827 0.6889
0.5790 0.5173 0.3111
0.9229 0.1896 0.9824
```

Values from the calculation:
energy relative to the lowest polymorph listed for this composition	0	meV/atom
crystal system	triclinic
uncorrected formation energy	-13.141	eV/f.u.



Entry 5:
## NdScSi2Pt2 (PBE-GGA)

Data for NdScSi2Pt2 after structural relaxation.

```
NdScSi2Pt2
1.0
4.2980 0.0000 0.0000
-2.1490 3.7222 0.0000
0.0000 0.0000 7.0751
Nd Sc Si Pt
1 1 2 2
Direct
0.0000 0.0000 0.0000
0.0000 0.0000 0.5000
0.3333 0.6667 0.7062
0.6667 0.3333 0.2938
0.3333 0.6667 0.3017
0.6667 0.3333 0.6983
```

Values from the calculation:
crystal system	trigonal
uncorrected formation energy	-6.931	eV/f.u.



Entry 6:
## TaBe2Hg (PBE-GGA)

Data for TaBe2Hg after structural relaxation.

```
TaBe2Hg
1.0
3.7795 0.0000 0.0000
0.0000 3.0576 0.0000
0.0000 0.0000 9.5881
Ta Be Hg
2 4 2
Direct
0.0000 0.0000 0.0000
0.0000 0.5000 0.5000
0.0000 0.0000 0.7204
0.0000 0.5000 0.2204
0.5000 0.0000 0.5852
0.5000 0.5000 0.0852
0.5000 0.0000 0.3063
0.5000 0.5000 0.8063
```

Values from the calculation:
crystal system	orthorhombic
ΔE_f	0.29	eV/atom



Taking the records one at a time from the top gives Fermi-level density of states values of 3.2 0.9 2.0 6.0 3.0 1.4 states/eV/f.u..
Taking the records one at a time from the top gives total moment values of 4.00 0.00 0.43 4.00 0.00 0.00 μB per formula unit.